[1]
! AlCdCoAg, optimized geometry, DFT PBE-GGA; values from VASP
&SYSTEM
  ibrav = 0, nat = 4, ntyp = 4
/
ATOMIC_SPECIES
Al 26.98 Al.upf
Ag 107.87 Ag.upf
Co 58.93 Co.upf
Cd 112.41 Cd.upf
CELL_PARAMETERS angstrom
0.000 3.154 3.154
3.154 0.000 3.154
3.154 3.154 0.000
ATOMIC_POSITIONS crystal
Al 0.000 0.000 0.000
Ag 0.250 0.250 0.250
Co 0.750 0.750 0.750
Cd 0.500 0.500 0.500
! Energy = -3.558 eV/atom
! Space group = F-43m
! Polymorph energy (0 for the lowest one) = 0.0 kJ per mole of atoms

=====

[2]
! Li2Al2Cd2CuAg, optimized geometry, DFT PBE-GGA; values from VASP
&SYSTEM
  ibrav = 0, nat = 8, ntyp = 5
/
ATOMIC_SPECIES
Ag 107.87 Ag.upf
Al 26.98 Al.upf
Cd 112.41 Cd.upf
Li 6.94 Li.upf
Cu 63.55 Cu.upf
CELL_PARAMETERS angstrom
-3.168 3.061 -0.644
0.292 -0.624 -4.398
-4.486 -4.571 0.350
ATOMIC_POSITIONS crystal
Ag 0.000 0.000 0.000
Al 0.000 0.500 0.263
Al 0.500 0.000 0.737
Cd 0.000 0.500 0.735
Cd 0.500 0.000 0.265
Li 0.500 0.500 0.000
Li 0.000 0.000 0.500
Cu 0.500 0.500 0.500
! Energy = -2.599 eV/atom
! Space group = P-4m2

=====

[3]
! Li2Mg2AlCdAg2, optimized geometry, DFT PBE-GGA; values from VASP
&SYSTEM
  ibrav = 0, nat = 8, ntyp = 5
/
ATOMIC_SPECIES
Al 26.98 Al.upf
Li 6.94 Li.upf
Ag 107.87 Ag.upf
Cd 112.41 Cd.upf
Mg 24.30 Mg.upf
CELL_PARAMETERS angstrom
-3.499 2.320 -1.883
-2.583 -3.806 0.110
-2.136 1.623 5.969
ATOMIC_POSITIONS crystal
Al 0.000 0.000 0.500
Li 0.000 0.500 0.256
Li 0.500 0.000 0.744
Ag 0.000 0.500 0.732
Ag 0.500 0.000 0.268
Cd 0.500 0.500 0.000
Mg 0.500 0.500 0.500
Mg 0.000 0.000 0.000
! Energy = -2.386 eV/atom
! Space group = P-4m2

=====

[4]
! Li2Al2Cd2AgPd, optimized geometry, DFT PBE-GGA; values from VASP
&SYSTEM
  ibrav = 0, nat = 8, ntyp = 5
/
ATOMIC_SPECIES
Li 6.94 Li.upf
Cd 112.41 Cd.upf
Al 26.98 Al.upf
Ag 107.87 Ag.upf
Pd 106.42 Pd.upf
CELL_PARAMETERS angstrom
4.519 0.000 0.000
0.000 4.519 0.000
0.000 0.000 6.460
ATOMIC_POSITIONS crystal
Li 0.000 0.000 0.500
Li 0.500 0.500 0.000
Cd 0.500 0.000 0.746
Cd 0.000 0.500 0.254
Al 0.000 0.500 0.732
Al 0.500 0.000 0.268
Ag 0.000 0.000 0.000
Pd 0.500 0.500 0.500
! Energy = -2.955 eV/atom
! Space group = P-4m2

=====

[5]
! Cs2AlAgCl6, optimized geometry, DFT PBE-GGA; values from VASP
&SYSTEM
  ibrav = 0, nat = 20, ntyp = 4
/
ATOMIC_SPECIES
Cl 35.45 Cl.upf
Ag 107.87 Ag.upf
Cs 132.91 Cs.upf
Al 26.98 Al.upf
CELL_PARAMETERS angstrom
-0.562 -5.169 4.766
6.353 2.538 -1.718
-1.074 9.805 10.507
ATOMIC_POSITIONS crystal
Cl 0.258 0.286 0.155
Cl 0.973 0.714 0.655
Cl 0.027 0.742 0.155
Cl 0.027 0.286 0.345
Cl 0.714 0.973 0.155
Cl 0.258 0.973 0.345
Cl 0.742 0.714 0.845
Cl 0.714 0.742 0.345
Cl 0.286 0.027 0.845
Cl 0.973 0.258 0.845
Cl 0.742 0.027 0.655
Cl 0.286 0.258 0.655
Ag 0.667 0.333 0.750
Ag 0.333 0.667 0.250
Cs 0.667 0.333 0.024
Cs 0.333 0.667 0.524
Cs 0.667 0.333 0.476
Cs 0.333 0.667 0.976
Al 0.000 0.000 0.750
Al 0.000 0.000 0.250
! Energy = -3.381 eV/atom
! Space group = P-31c

=====

[6]
! Cs2AlAgCl6, optimized geometry, DFT PBE-GGA; values from VASP
&SYSTEM
  ibrav = 0, nat = 10, ntyp = 4
/
ATOMIC_SPECIES
Cl 35.45 Cl.upf
Cs 132.91 Cs.upf
Al 26.98 Al.upf
Ag 107.87 Ag.upf
CELL_PARAMETERS angstrom
0.000 5.140 5.140
5.140 0.000 5.140
5.140 5.140 0.000
ATOMIC_POSITIONS crystal
Cl 0.730 0.730 0.270
Cl 0.270 0.270 0.730
Cl 0.270 0.730 0.270
Cl 0.270 0.730 0.730
Cl 0.730 0.270 0.730
Cl 0.730 0.270 0.270
Cs 0.750 0.750 0.750
Cs 0.250 0.250 0.250
Al 0.500 0.500 0.500
Ag 0.000 0.000 0.000
! Energy = -3.455 eV/atom
! Space group = Fm-3m

=====

[7]
! K2AlAgCl6, optimized geometry, DFT PBE-GGA; values from VASP
&SYSTEM
  ibrav = 0, nat = 10, ntyp = 4
/
ATOMIC_SPECIES
Ag 107.87 Ag.upf
Cl 35.45 Cl.upf
K 39.10 K.upf
Al 26.98 Al.upf
CELL_PARAMETERS angstrom
0.000 5.026 5.026
5.026 0.000 5.026
5.026 5.026 0.000
ATOMIC_POSITIONS crystal
Ag 0.000 0.000 0.000
Cl 0.732 0.732 0.268
Cl 0.268 0.268 0.732
Cl 0.268 0.732 0.268
Cl 0.732 0.268 0.268
Cl 0.732 0.268 0.732
Cl 0.268 0.732 0.732
K 0.750 0.750 0.750
K 0.250 0.250 0.250
Al 0.500 0.500 0.500
! Energy = -3.456 eV/atom
! Space group = Fm-3m

=====

[8]
! Rb2AlAgCl6, optimized geometry, DFT PBE-GGA; values from VASP
&SYSTEM
  ibrav = 0, nat = 10, ntyp = 4
/
ATOMIC_SPECIES
Al 26.98 Al.upf
Cl 35.45 Cl.upf
Rb 85.47 Rb.upf
Ag 107.87 Ag.upf
CELL_PARAMETERS angstrom
5.833 -0.180 4.162
3.107 6.115 2.082
-0.416 2.082 6.846
ATOMIC_POSITIONS crystal
Al 0.500 0.500 0.500
Cl 0.731 0.269 0.731
Cl 0.731 0.731 0.269
Cl 0.269 0.731 0.269
Cl 0.269 0.731 0.731
Cl 0.269 0.269 0.731
Cl 0.731 0.269 0.269
Rb 0.750 0.750 0.750
Rb 0.250 0.250 0.250
Ag 0.000 0.000 0.000
! Energy = -3.454 eV/atom
! Space group = Fm-3m

=====

[9]
! AlTl2AgCl6, optimized geometry, DFT PBE-GGA; values from VASP
&SYSTEM
  ibrav = 0, nat = 10, ntyp = 4
/
ATOMIC_SPECIES
Ag 107.87 Ag.upf
Cl 35.45 Cl.upf
Tl 204.38 Tl.upf
Al 26.98 Al.upf
CELL_PARAMETERS angstrom
0.000 5.034 5.034
5.034 0.000 5.034
5.034 5.034 0.000
ATOMIC_POSITIONS crystal
Ag 0.500 0.500 0.500
Cl 0.232 0.768 0.232
Cl 0.768 0.232 0.232
Cl 0.232 0.768 0.768
Cl 0.768 0.768 0.232
Cl 0.768 0.232 0.768
Cl 0.232 0.232 0.768
Tl 0.250 0.250 0.250
Tl 0.750 0.750 0.750
Al 0.000 0.000 0.000
! Energy = -3.326 eV/atom
! Space group = Fm-3m

=====

[10]
! Al2CoAg, optimized geometry, DFT PBE-GGA; values from VASP
&SYSTEM
  ibrav = 0, nat = 4, ntyp = 3
/
ATOMIC_SPECIES
Al 26.98 Al.upf
Ag 107.87 Ag.upf
Co 58.93 Co.upf
CELL_PARAMETERS angstrom
2.566 -3.034 -1.732
1.998 -2.869 2.562
-1.250 -4.150 -0.007
ATOMIC_POSITIONS crystal
Al 0.750 0.750 0.750
Al 0.500 0.500 0.500
Ag 0.000 0.000 0.000
Co 0.250 0.250 0.250
! Energy = -4.297 eV/atom
! Space group = F-43m

=====

[11]
! AlCo2Ag, optimized geometry, DFT PBE-GGA; values from VASP
&SYSTEM
  ibrav = 0, nat = 4, ntyp = 3
/
ATOMIC_SPECIES
Co 58.93 Co.upf
Al 26.98 Al.upf
Ag 107.87 Ag.upf
CELL_PARAMETERS angstrom
0.000 2.980 2.980
2.980 0.000 2.980
2.980 2.980 0.000
ATOMIC_POSITIONS crystal
Co 0.250 0.250 0.250
Co 0.500 0.500 0.500
Al 0.000 0.000 0.000
Ag 0.750 0.750 0.750
! Energy = -5.113 eV/atom
! Space group = F-43m

=====

[12]
! Al3CoAg, optimized geometry, DFT PBE-GGA; values from VASP
&SYSTEM
  ibrav = 0, nat = 10, ntyp = 3
/
ATOMIC_SPECIES
Ag 107.87 Ag.upf
Al 26.98 Al.upf
Co 58.93 Co.upf
CELL_PARAMETERS angstrom
2.982 1.722 5.772
-2.982 1.722 5.772
0.000 -3.443 5.772
ATOMIC_POSITIONS crystal
Ag 0.250 0.250 0.250
Ag 0.750 0.750 0.750
Al 0.254 0.246 0.750
Al 0.250 0.746 0.754
Al 0.750 0.254 0.246
Al 0.754 0.250 0.746
Al 0.746 0.754 0.250
Al 0.246 0.750 0.254
Co 0.000 0.000 0.000
Co 0.500 0.500 0.500
! Energy = -4.263 eV/atom
! Space group = R-3c

=====

[13]
! AlCoAg, optimized geometry, DFT PBE-GGA; values from VASP
&SYSTEM
  ibrav = 0, nat = 3, ntyp = 3
/
ATOMIC_SPECIES
Co 58.93 Co.upf
Ag 107.87 Ag.upf
Al 26.98 Al.upf
CELL_PARAMETERS angstrom
0.000 2.899 2.899
2.899 0.000 2.899
2.899 2.899 0.000
ATOMIC_POSITIONS crystal
Co 0.000 0.000 0.000
Ag 0.250 0.250 0.250
Al 0.750 0.750 0.750
! Energy = -4.300 eV/atom
! Space group = F-43m
! Polymorph energy (0 for the lowest one) = 0.0 kJ per mole of atoms

=====

[14]
! AlCoCuAg, optimized geometry, DFT PBE-GGA; values from VASP
&SYSTEM
  ibrav = 0, nat = 4, ntyp = 4
/
ATOMIC_SPECIES
Ag 107.87 Ag.upf
Cu 63.55 Cu.upf
Al 26.98 Al.upf
Co 58.93 Co.upf
CELL_PARAMETERS angstrom
0.000 2.999 2.999
2.999 0.000 2.999
2.999 2.999 0.000
ATOMIC_POSITIONS crystal
Ag 0.500 0.500 0.500
Cu 0.250 0.250 0.250
Al 0.000 0.000 0.000
Co 0.750 0.750 0.750
! Energy = -4.325 eV/atom
! Space group = F-43m
! Polymorph energy (0 for the lowest one) = 0.0 kJ per mole of atoms

=====

[15]
! HfAlCoAg, optimized geometry, DFT PBE-GGA; values from VASP
&SYSTEM
  ibrav = 0, nat = 4, ntyp = 4
/
ATOMIC_SPECIES
Ag 107.87 Ag.upf
Hf 178.49 Hf.upf
Al 26.98 Al.upf
Co 58.93 Co.upf
CELL_PARAMETERS angstrom
0.000 3.172 3.172
3.172 0.000 3.172
3.172 3.172 0.000
ATOMIC_POSITIONS crystal
Ag 0.500 0.500 0.500
Hf 0.250 0.250 0.250
Al 0.000 0.000 0.000
Co 0.750 0.750 0.750
! Energy = -5.873 eV/atom
! Space group = F-43m
! Polymorph energy (0 for the lowest one) = 23.6 kJ per mole of atoms

=====

[16]
! HfAlCoAg, optimized geometry, DFT PBE-GGA; values from VASP
&SYSTEM
  ibrav = 0, nat = 4, ntyp = 4
/
ATOMIC_SPECIES
Ag 107.87 Ag.upf
Co 58.93 Co.upf
Hf 178.49 Hf.upf
Al 26.98 Al.upf
CELL_PARAMETERS angstrom
-2.046 -2.221 3.299
0.014 1.656 4.155
-3.774 1.613 1.777
ATOMIC_POSITIONS crystal
Ag 0.250 0.250 0.250
Co 0.750 0.750 0.750
Hf 0.500 0.500 0.500
Al 0.000 0.000 0.000
! Energy = -6.118 eV/atom
! Space group = F-43m
! Polymorph energy (0 for the lowest one) = 0.0 kJ per mole of atoms

=====

[17]
! AlCoAgHg, optimized geometry, DFT PBE-GGA; values from VASP
&SYSTEM
  ibrav = 0, nat = 4, ntyp = 4
/
ATOMIC_SPECIES
Co 58.93 Co.upf
Ag 107.87 Ag.upf
Hg 200.59 Hg.upf
Al 26.98 Al.upf
CELL_PARAMETERS angstrom
0.000 3.184 3.184
3.184 0.000 3.184
3.184 3.184 0.000
ATOMIC_POSITIONS crystal
Co 0.750 0.750 0.750
Ag 0.250 0.250 0.250
Hg 0.500 0.500 0.500
Al 0.000 0.000 0.000
! Energy = -3.297 eV/atom
! Space group = F-43m
! Polymorph energy (0 for the lowest one) = 0.0 kJ per mole of atoms

=====

[18]
! LuAlCoAg, optimized geometry, DFT PBE-GGA; values from VASP
&SYSTEM
  ibrav = 0, nat = 4, ntyp = 4
/
ATOMIC_SPECIES
Co 58.93 Co.upf
Ag 107.87 Ag.upf
Al 26.98 Al.upf
Lu 174.97 Lu.upf
CELL_PARAMETERS angstrom
2.062 -0.385 4.063
-1.149 2.806 3.422
-2.318 -1.611 3.597
ATOMIC_POSITIONS crystal
Co 0.750 0.750 0.750
Ag 0.250 0.250 0.250
Al 0.000 0.000 0.000
Lu 0.500 0.500 0.500
! Energy = -4.776 eV/atom
! Space group = F-43m
! Polymorph energy (0 for the lowest one) = 0.0 kJ per mole of atoms

=====

[19]
! LuAlCoAg, optimized geometry, DFT PBE-GGA; values from VASP
&SYSTEM
  ibrav = 0, nat = 4, ntyp = 4
/
ATOMIC_SPECIES
Ag 107.87 Ag.upf
Co 58.93 Co.upf
Al 26.98 Al.upf
Lu 174.97 Lu.upf
CELL_PARAMETERS angstrom
0.000 3.267 3.267
3.267 0.000 3.267
3.267 3.267 0.000
ATOMIC_POSITIONS crystal
Ag 0.500 0.500 0.500
Co 0.750 0.750 0.750
Al 0.000 0.000 0.000
Lu 0.250 0.250 0.250
! Energy = -4.541 eV/atom
! Space group = F-43m
! Polymorph energy (0 for the lowest one) = 22.7 kJ per mole of atoms

=====

[20]
! AlCoNiAg, optimized geometry, DFT PBE-GGA; values from VASP
&SYSTEM
  ibrav = 0, nat = 4, ntyp = 4
/
ATOMIC_SPECIES
Ni 58.69 Ni.upf
Al 26.98 Al.upf
Ag 107.87 Ag.upf
Co 58.93 Co.upf
CELL_PARAMETERS angstrom
0.759 2.301 3.436
0.505 4.161 -0.326
-2.953 2.599 1.484
ATOMIC_POSITIONS crystal
Ni 0.500 0.500 0.500
Al 0.000 0.000 0.000
Ag 0.250 0.250 0.250
Co 0.750 0.750 0.750
! Energy = -4.801 eV/atom
! Space group = F-43m
! Polymorph energy (0 for the lowest one) = 4.9 kJ per mole of atoms

=====

[21]
! AlCoNiAg, optimized geometry, DFT PBE-GGA; values from VASP
&SYSTEM
  ibrav = 0, nat = 4, ntyp = 4
/
ATOMIC_SPECIES
Al 26.98 Al.upf
Ni 58.69 Ni.upf
Co 58.93 Co.upf
Ag 107.87 Ag.upf
CELL_PARAMETERS angstrom
0.000 2.967 2.967
2.967 0.000 2.967
2.967 2.967 0.000
ATOMIC_POSITIONS crystal
Al 0.000 0.000 0.000
Ni 0.250 0.250 0.250
Co 0.750 0.750 0.750
Ag 0.500 0.500 0.500
! Energy = -4.851 eV/atom
! Space group = F-43m
! Polymorph energy (0 for the lowest one) = 0.0 kJ per mole of atoms

=====

[22]
! AlCoAgPt, optimized geometry, DFT PBE-GGA; values from VASP
&SYSTEM
  ibrav = 0, nat = 4, ntyp = 4
/
ATOMIC_SPECIES
Co 58.93 Co.upf
Al 26.98 Al.upf
Pt 195.08 Pt.upf
Ag 107.87 Ag.upf
CELL_PARAMETERS angstrom
0.000 3.075 3.075
3.075 0.000 3.075
3.075 3.075 0.000
ATOMIC_POSITIONS crystal
Co 0.750 0.750 0.750
Al 0.000 0.000 0.000
Pt 0.250 0.250 0.250
Ag 0.500 0.500 0.500
! Energy = -5.106 eV/atom
! Space group = F-43m
! Polymorph energy (0 for the lowest one) = 0.0 kJ per mole of atoms

=====

[23]
! AlCoReAg, optimized geometry, DFT PBE-GGA; values from VASP
&SYSTEM
  ibrav = 0, nat = 4, ntyp = 4
/
ATOMIC_SPECIES
Co 58.93 Co.upf
Al 26.98 Al.upf
Ag 107.87 Ag.upf
Re 186.21 Re.upf
CELL_PARAMETERS angstrom
0.000 3.063 3.063
3.063 0.000 3.063
3.063 3.063 0.000
ATOMIC_POSITIONS crystal
Co 0.750 0.750 0.750
Al 0.000 0.000 0.000
Ag 0.250 0.250 0.250
Re 0.500 0.500 0.500
! Energy = -6.111 eV/atom
! Space group = F-43m
! Polymorph energy (0 for the lowest one) = 0.0 kJ per mole of atoms

=====

[24]
! AlCoTcAg, optimized geometry, DFT PBE-GGA; values from VASP
&SYSTEM
  ibrav = 0, nat = 4, ntyp = 4
/
ATOMIC_SPECIES
Tc 98.00 Tc.upf
Co 58.93 Co.upf
Ag 107.87 Ag.upf
Al 26.98 Al.upf
CELL_PARAMETERS angstrom
-0.836 0.598 4.214
-3.313 -2.083 1.870
0.768 -3.190 2.837
ATOMIC_POSITIONS crystal
Tc 0.500 0.500 0.500
Co 0.750 0.750 0.750
Ag 0.250 0.250 0.250
Al 0.000 0.000 0.000
! Energy = -5.766 eV/atom
! Space group = F-43m
! Polymorph energy (0 for the lowest one) = 0.0 kJ per mole of atoms

=====

[25]
! AlCoAgW, optimized geometry, DFT PBE-GGA; values from VASP
&SYSTEM
  ibrav = 0, nat = 4, ntyp = 4
/
ATOMIC_SPECIES
Al 26.98 Al.upf
Ag 107.87 Ag.upf
Co 58.93 Co.upf
W 183.84 W.upf
CELL_PARAMETERS angstrom
0.000 3.081 3.081
3.081 0.000 3.081
3.081 3.081 0.000
ATOMIC_POSITIONS crystal
Al 0.000 0.000 0.000
Ag 0.250 0.250 0.250
Co 0.750 0.750 0.750
W 0.500 0.500 0.500
! Energy = -6.300 eV/atom
! Space group = F-43m
! Polymorph energy (0 for the lowest one) = 0.0 kJ per mole of atoms

=====

[26]
! ZrAlCoAg, optimized geometry, DFT PBE-GGA; values from VASP
&SYSTEM
  ibrav = 0, nat = 4, ntyp = 4
/
ATOMIC_SPECIES
Co 58.93 Co.upf
Zr 91.22 Zr.upf
Al 26.98 Al.upf
Ag 107.87 Ag.upf
CELL_PARAMETERS angstrom
0.000 3.207 3.207
3.207 0.000 3.207
3.207 3.207 0.000
ATOMIC_POSITIONS crystal
Co 0.750 0.750 0.750
Zr 0.250 0.250 0.250
Al 0.000 0.000 0.000
Ag 0.500 0.500 0.500
! Energy = -5.552 eV/atom
! Space group = F-43m
! Polymorph energy (0 for the lowest one) = 20.3 kJ per mole of atoms

=====

[27]
! ZrAlCoAg, optimized geometry, DFT PBE-GGA; values from VASP
&SYSTEM
  ibrav = 0, nat = 4, ntyp = 4
/
ATOMIC_SPECIES
Co 58.93 Co.upf
Ag 107.87 Ag.upf
Zr 91.22 Zr.upf
Al 26.98 Al.upf
CELL_PARAMETERS angstrom
-2.362 0.523 3.801
-4.504 0.002 -0.129
-2.304 -3.471 1.716
ATOMIC_POSITIONS crystal
Co 0.750 0.750 0.750
Ag 0.250 0.250 0.250
Zr 0.500 0.500 0.500
Al 0.000 0.000 0.000
! Energy = -5.762 eV/atom
! Space group = F-43m
! Polymorph energy (0 for the lowest one) = 0.0 kJ per mole of atoms